A.
Density functional theory data (PBE) for a relaxed structure of Cu2HgPd5.

Values from the calculation:
Fermi-level density of states: 7.1 states/eV/f.u.

Cell: 6.7523 6.7523 11.0370 Å, 90.00 90.00 90.00°
Last column: nearest neighbours and their distance in Å.
Space group I4/mcm (No. 140)
Inequivalent atoms, fractional coordinates:
Cu1 0.1425 0.3575 0.0000 (multiplicity 8)  8 Pd 2.59-2.60, 1 Cu 2.72
Hg1 0.0000 0.0000 0.2500 (multiplicity 4)  10 Pd 2.76-2.79
Pd1 0.0000 0.0000 0.0000 (multiplicity 4)  4 Cu 2.60, 2 Hg 2.76
Pd2 0.1491 0.3509 0.3479 (multiplicity 16)  3 Cu 2.59-2.60, 2 Hg 2.79, 2 Pd 2.85-2.90

B.
Density functional theory data (PBE) for a relaxed structure of Cu2HgPd5.

Values from the calculation:
Fermi-level density of states: 7.9 states/eV/f.u.

Cell: 5.6256 5.6256 7.7583 Å, 90.00 90.00 90.00°
Last column: nearest neighbours and their distance in Å.
Space group I4/mmm (No. 139)
Inequivalent atoms, fractional coordinates:
Cu1 0.0000 0.5000 0.0000 (multiplicity 4)  10 Pd 2.78-2.81, 2 Hg 2.81
Hg1 0.0000 0.0000 0.0000 (multiplicity 2)  8 Pd 2.78, 4 Cu 2.81
Pd1 0.0000 0.0000 0.5000 (multiplicity 2)  8 Pd 2.78, 4 Cu 2.81
Pd2 0.2500 0.2500 0.2500 (multiplicity 8)  6 Pd 2.78-2.81, 2 Hg 2.78, 4 Cu 2.78

Most stable one: B, least stable one: A.

A.
Density functional theory data (PBE) for a relaxed structure of PmCuHg.

Values from the calculation:
Fermi-level density of states: 1.6 states/eV/f.u.

Cell: 13.4699 3.8638 7.6959 Å, 90.00 90.00 90.00°
Last column: nearest neighbours and their distance in Å.
Space group Pmma (No. 51)
Inequivalent atoms, fractional coordinates:
Pm1 0.0476 0.0000 0.2423 (multiplicity 4)  5 Cu 3.03-3.15, 6 Hg 3.26-3.37
Pm2 0.2500 0.0000 0.8495 (multiplicity 2)  5 Cu 3.01-3.10, 6 Hg 3.24-3.35
Cu1 0.0880 0.5000 0.9478 (multiplicity 4)  1 Cu 2.50
Cu2 0.2500 0.0000 0.4465 (multiplicity 2)  6 Hg 2.78-2.81, 1 Pm 3.10
Hg1 0.1188 0.5000 0.5787 (multiplicity 4)  3 Cu 2.81-2.87
Hg2 0.2500 0.5000 0.1872 (multiplicity 2)  4 Cu 2.78-2.86

B.
Density functional theory data (PBE) for a relaxed structure of PmCuHg.

Values from the calculation:
Fermi-level density of states: 4.0 states/eV/f.u.

Cell: 6.6378 6.6378 6.6378 Å, 90.00 90.00 90.00°
Last column: nearest neighbours and their distance in Å.
Space group F-43m (No. 216)
Inequivalent atoms, fractional coordinates:
Pm1 0.0000 0.0000 0.0000 (multiplicity 4)  4 Cu 2.87
Cu1 0.2500 0.2500 0.2500 (multiplicity 4)  4 Pm 2.87, 4 Hg 2.87
Hg1 0.0000 0.0000 0.5000 (multiplicity 4)  4 Cu 2.87

Most stable one: A, least stable one: B.

A.
Density functional theory data (PBE) for a relaxed structure of PmCuHg.

Values from the calculation:
Fermi-level density of states: 1.3 states/eV/f.u.

Cell: 3.6935 3.6935 9.8810 Å, 90.00 90.00 90.00°
Last column: nearest neighbours and their distance in Å.
Space group I4mm (No. 107)
Inequivalent atoms, fractional coordinates:
Pm1 0.0000 0.0000 0.0000 (multiplicity 2)  5 Hg 3.08-3.21, 5 Cu 3.13-3.22
Cu1 0.0000 0.0000 0.3257 (multiplicity 2)  4 Hg 2.94, 5 Pm 3.13-3.22
Hg1 0.0000 0.0000 0.6882 (multiplicity 2)  4 Cu 2.94, 5 Pm 3.08-3.21

B.
Density functional theory data (PBE) for a relaxed structure of PmCuHg.

Values from the calculation:
Fermi-level density of states: 2.2 states/eV/f.u.

Cell: 3.4306 3.4306 24.3746 Å, 90.00 90.00 90.00°
Last column: nearest neighbours and their distance in Å.
Space group I4/mmm (No. 139)
Inequivalent atoms, fractional coordinates:
Pm1 0.0000 0.0000 0.1524 (multiplicity 4)  5 Cu 2.92-3.04
Cu1 0.0000 0.0000 0.2722 (multiplicity 4)  4 Cu 2.66, 1 Pm 2.92
Hg1 0.0000 0.0000 0.4405 (multiplicity 4)  1 Hg 2.90

C.
Density functional theory data (PBE) for a relaxed structure of PmCuHg.

Values from the calculation:
Fermi-level density of states: 2.1 states/eV/f.u.

Cell: 10.2032 4.4703 7.1934 Å, 90.00 125.46 90.00°
Last column: nearest neighbours and their distance in Å.
Space group C2/m (No. 12)
Inequivalent atoms, fractional coordinates:
Pm1 0.0567 0.0000 0.3069 (multiplicity 4)  5 Cu 3.02-3.17, 5 Hg 3.22-3.38
Cu1 0.1391 0.5000 0.6731 (multiplicity 4)  1 Cu 2.46, 2 Hg 2.74
Hg1 0.1812 0.5000 0.1085 (multiplicity 4)  3 Cu 2.74-2.90

D.
Density functional theory data (PBE) for a relaxed structure of PmCuHg.

Values from the calculation:
Fermi-level density of states: 1.6 states/eV/f.u.

Cell: 4.6943 4.6943 3.5344 Å, 90.00 90.00 120.00°
Last column: nearest neighbours and their distance in Å.
Space group P-6m2 (No. 187)
Inequivalent atoms, fractional coordinates:
Pm1 0.0000 0.0000 0.0000 (multiplicity 1)  6 Cu 3.24, 6 Hg 3.24, 2 Pm 3.53
Cu1 0.6667 0.3333 0.5000 (multiplicity 1)  3 Hg 2.71
Hg1 0.3333 0.6667 0.5000 (multiplicity 1)  3 Cu 2.71

Most stable one: C, least stable one: B.

A.
Density functional theory data (PBE) for a relaxed structure of Pm4Cu3Hg.

Values from the calculation:
Fermi-level density of states: 7.0 states/eV/f.u.

Cell: 3.6306 5.1775 10.2496 Å, 90.00 90.00 90.00°
Last column: nearest neighbours and their distance in Å.
Space group Pmmm (No. 47)
Inequivalent atoms, fractional coordinates:
Pm1 0.0000 0.0000 0.0000 (multiplicity 1)  8 Cu 3.12-3.16
Pm2 0.0000 0.0000 0.5000 (multiplicity 1)  4 Hg 3.16, 4 Cu 3.17
Pm3 0.0000 0.5000 0.2363 (multiplicity 2)  6 Cu 3.03-3.16, 2 Hg 3.26
Cu1 0.5000 0.0000 0.2470 (multiplicity 2)  8 Pm 3.12-3.17
Cu2 0.5000 0.5000 0.0000 (multiplicity 1)  8 Pm 3.03-3.16
Hg1 0.5000 0.5000 0.5000 (multiplicity 1)  8 Pm 3.16-3.26

B.
Density functional theory data (PBE) for a relaxed structure of Pm4Cu3Hg.

Values from the calculation:
Fermi-level density of states: 7.7 states/eV/f.u.

Cell: 3.8869 4.6635 10.8858 Å, 90.00 90.00 90.00°
Last column: nearest neighbours and their distance in Å.
Space group Pmm2 (No. 25)
Inequivalent atoms, fractional coordinates:
Pm1 0.0000 0.0000 0.0000 (multiplicity 1)  6 Cu 2.89-3.11, 1 Hg 3.23
Pm2 0.0000 0.5000 0.2660 (multiplicity 1)  7 Cu 2.94-3.13
Pm3 0.5000 0.0000 0.4715 (multiplicity 1)  5 Cu 2.99-3.15, 2 Hg 3.18
Pm4 0.5000 0.5000 0.7770 (multiplicity 1)  3 Cu 3.12-3.17, 4 Hg 3.14
Cu1 0.0000 0.5000 0.5474 (multiplicity 1)  2 Hg 2.88, 7 Pm 3.06-3.17
Cu2 0.5000 0.0000 0.1970 (multiplicity 1)  2 Cu 2.75, 3 Pm 2.89-2.99
Cu3 0.5000 0.5000 0.0632 (multiplicity 1)  2 Cu 2.75, 2 Pm 2.94
Hg1 0.0000 0.0000 0.7029 (multiplicity 1)  2 Cu 2.88, 6 Pm 3.14-3.18

Most stable one: B, least stable one: A.

A.
Density functional theory data (PBE) for a relaxed structure of Pm3Cu4Hg2.

Values from the calculation:
Fermi-level density of states: 5.4 states/eV/f.u.

Cell: 10.9639 4.4713 8.7063 Å, 90.00 114.77 90.00°
Last column: nearest neighbours and their distance in Å.
Space group C2/m (No. 12)
Inequivalent atoms, fractional coordinates:
Pm1 0.0000 0.0000 0.0000 (multiplicity 2)  8 Cu 3.17-3.37, 4 Hg 3.30
Pm2 0.1474 0.5000 0.6879 (multiplicity 4)  7 Cu 2.92-3.11, 3 Hg 3.20
Cu1 0.0688 0.0000 0.4152 (multiplicity 4)  1 Cu 2.51, 2 Hg 2.69
Cu2 0.2313 0.5000 0.0539 (multiplicity 4)  2 Cu 2.52, 1 Hg 2.73
Hg1 0.1410 0.5000 0.3023 (multiplicity 4)  3 Cu 2.69-2.73

B.
Density functional theory data (PBE) for a relaxed structure of Pm3Cu4Hg2.

Values from the calculation:
Fermi-level density of states: 7.1 states/eV/f.u.

Cell: 10.0435 4.3388 8.9623 Å, 90.00 92.50 90.00°
Last column: nearest neighbours and their distance in Å.
Space group C2/m (No. 12)
Inequivalent atoms, fractional coordinates:
Pm1 0.0000 0.0000 0.0000 (multiplicity 2)  6 Cu 2.97-3.09
Pm2 0.1314 0.5000 0.3759 (multiplicity 4)  6 Cu 2.92-3.14, 3 Hg 3.23-3.27
Cu1 0.0703 0.0000 0.6164 (multiplicity 4)  1 Cu 2.47, 2 Hg 2.73
Cu2 0.2131 0.5000 0.0673 (multiplicity 4)  2 Cu 2.61, 3 Hg 2.69-2.85
Hg1 0.1685 0.5000 0.7691 (multiplicity 4)  5 Cu 2.69-2.85

Most stable one: A, least stable one: B.